[1]
Material: Si2TcPt
Method: DFT, PBE-GGA
State: relaxed

a = 2.894 Å, b = 4.605 Å, c = 4.216 Å
α = 90.00°, β = 90.00°, γ = 90.00°
Positions (direct):
Si1 0.000 0.000 0.000
Si2 0.500 0.500 0.228
Tc1 0.000 0.500 0.735
Pt1 0.500 0.000 0.492

=====

[2]
Material: Si2TcPt
Method: DFT, PBE-GGA
State: relaxed

a = 7.990 Å, b = 7.990 Å, c = 7.990 Å
α = 20.84°, β = 20.84°, γ = 20.84°
Positions (direct):
Si1 0.247 0.247 0.247
Si2 0.753 0.753 0.753
Tc1 0.500 0.500 0.500
Pt1 0.000 0.000 0.000

=====

[3]
Material: SiTc2Pt
Method: DFT, PBE-GGA
State: relaxed

a = 2.868 Å, b = 2.868 Å, c = 6.911 Å
α = 90.00°, β = 90.00°, γ = 90.00°
Positions (direct):
Si1 0.000 0.000 0.000
Tc1 0.000 0.000 0.466
Tc2 0.500 0.500 0.217
Pt1 0.500 0.500 0.773

=====

[4]
Material: Si2TcPt
Method: DFT, PBE-GGA
State: relaxed

a = 5.112 Å, b = 5.112 Å, c = 5.112 Å
α = 139.27°, β = 139.27°, γ = 58.96°
Positions (direct):
Si1 0.000 0.000 0.000
Si2 0.750 0.250 0.500
Tc1 0.250 0.750 0.500
Pt1 0.500 0.500 0.000

=====

For reference, uncorrected energy by record: -7.228; -7.134; -8.313; -7.060 eV per atom.
For reference, uncorrected formation energy by record: -0.415; -0.321; -0.264; -0.247 eV per atom.